1.
Computed, not measured: a geometry-optimized Co3SBr structure at the GGA-PBE level of DFT.

Results
**Crystal system**: cubic
**Formation energy from raw total energies**: 1.2291 eV per atom
**N(E_F)**: 9.1 states/eV/cell
**SG**: Pm-3m (221)
**Uncorrected energy**: -20.97 eV for the cell shown
**Calculated volume**: 18.0 Å³/atom
**Energy relative to the lowest polymorph listed for this composition**: 765.0 meV per atom

```
5
Lattice="4.478 0.000 0.000 0.000 4.478 0.000 0.000 0.000 4.478" Properties=species:S:1:pos:R:3 pbc="T T T"
Co 0.000 2.239 0.000
Br 0.000 0.000 0.000
S 2.239 2.239 2.239
Co 0.000 0.000 2.239
Co 2.239 0.000 0.000
```

---

2.
Computed, not measured: a geometry-optimized BaCa2Bi2 structure at the GGA-PBE level of DFT.

Results
**Crystal system**: tetragonal
**N(E_F)**: 3.7 states/eV/cell
**SG**: I4/mmm (139)
**ΔH_f (0 K)**: -0.56 eV per atom
**Uncorrected energy**: -16.51 eV for the cell shown
**Calculated volume**: 41.5 Å³/atom
**Energy relative to the lowest polymorph listed for this composition**: 347.6 meV per atom

```
5
Lattice="6.058 0.000 0.000 0.000 6.058 0.000 3.029 3.029 5.652" Properties=species:S:1:pos:R:3 pbc="T T T"
Bi 6.058 3.029 2.826
Ca 6.058 6.058 3.731
Ba 0.000 0.000 0.000
Ca 3.029 3.029 1.921
Bi 3.029 6.058 2.826
```

---

3.
Computed, not measured: a geometry-optimized La6P2PbS3 structure at the GGA-PBE level of DFT.

Results
**Crystal system**: monoclinic
**Formation energy from raw total energies**: -1.6899 eV per atom
**N(E_F)**: 4.9 states/eV/cell
**SG**: C2/m (12)
**Uncorrected energy**: -76.75 eV for the cell shown
**Calculated volume**: 28.0 Å³/atom

```
12
Lattice="4.284 0.000 0.000 0.000 8.604 0.357 -2.142 -2.432 9.026" Properties=species:S:1:pos:R:3 pbc="T T T"
La 0.000 2.312 0.138
P 0.000 2.074 3.165
S 2.142 -0.178 6.094
La 2.142 3.860 9.245
S 0.000 6.350 3.289
La 2.142 4.164 3.257
S 2.142 4.302 0.178
La 0.000 6.208 6.219
Pb 2.142 0.000 0.000
La 0.000 2.008 6.127
P 2.142 4.098 6.218
La 2.142 -0.036 3.164
```

---

Q: Look up the N(E_F) of the third one.
A: 4.9 states/eV/cell